No. 1
Entry from Alexandria: Ac5PmPr4 after structural relaxation (PBE).

The structure in POSCAR format:
```
Ac5PmPr4
1.0
9.780 -2.754 0.000
9.780 2.754 0.000
-1.723 0.000 7.436
Ac Pm Pr
5 1 4
Direct
0.000 0.000 0.000 Ac
0.200 0.200 0.600 Ac
0.400 0.400 0.202 Ac
0.600 0.600 0.798 Ac
0.800 0.800 0.400 Ac
0.000 0.000 0.500 Pm
0.200 0.200 0.100 Pr
0.400 0.400 0.700 Pr
0.600 0.600 0.300 Pr
0.800 0.800 0.900 Pr
```

Formation energy (kJ per mole of atoms): 2.1
Distance to the lowest polymorph of the same formula (eV/f.u.): 0.00
Symmetry: C2/m, No. 12
Total magnetization (μB per formula unit): 0.0



No. 2
Entry from Alexandria: AcPm3Pr after structural relaxation (PBE).

The structure in POSCAR format:
```
AcPm3Pr
1.0
2.537 -6.035 0.000
2.537 6.035 0.000
0.000 0.000 12.239
Ac Pm Pr
2 6 2
Direct
0.110 0.890 0.750 Ac
0.890 0.110 0.250 Ac
0.209 0.791 0.095 Pm
0.209 0.791 0.405 Pm
0.406 0.594 0.750 Pm
0.594 0.406 0.250 Pm
0.791 0.209 0.595 Pm
0.791 0.209 0.905 Pm
0.500 0.500 0.000 Pr
0.500 0.500 0.500 Pr
```

Formation energy (kJ per mole of atoms): 13.9
Distance to the lowest polymorph of the same formula (eV/f.u.): 0.33
Symmetry: Cmcm, No. 63
Total magnetization (μB per formula unit): 0.0



No. 3
Entry from Alexandria: AcPm4Pr8 after structural relaxation (PBE).

The structure in POSCAR format:
```
AcPm4Pr8
1.0
5.258 0.000 0.000
-2.622 5.883 0.000
-0.009 -1.196 15.261
Ac Pm Pr
1 4 8
Direct
0.000 0.000 0.000 Ac
0.154 0.307 0.538 Pm
0.381 0.762 0.842 Pm
0.619 0.238 0.158 Pm
0.846 0.693 0.462 Pm
0.075 0.150 0.766 Pr
0.232 0.464 0.310 Pr
0.308 0.617 0.080 Pr
0.460 0.920 0.613 Pr
0.540 0.080 0.387 Pr
0.692 0.383 0.920 Pr
0.768 0.536 0.690 Pr
0.925 0.850 0.234 Pr
```

Formation energy (kJ per mole of atoms): 1.7
Symmetry: P-1, No. 2
Total magnetization (μB per formula unit): 0.0



No. 4
Entry from Alexandria: AcPm10Pr4 after structural relaxation (PBE).

The structure in POSCAR format:
```
AcPm10Pr4
1.0
-6.470 6.470 3.471
6.470 -6.470 3.471
6.470 6.470 -3.471
Ac Pm Pr
1 10 4
Direct
0.000 0.000 0.000 Ac
0.046 0.881 0.426 Pm
0.119 0.545 0.164 Pm
0.250 0.750 0.500 Pm
0.380 0.954 0.836 Pm
0.455 0.620 0.574 Pm
0.545 0.380 0.426 Pm
0.620 0.046 0.164 Pm
0.750 0.250 0.500 Pm
0.881 0.455 0.836 Pm
0.954 0.119 0.574 Pm
0.320 0.567 0.887 Pr
0.433 0.320 0.754 Pr
0.567 0.680 0.246 Pr
0.680 0.433 0.113 Pr
```

Formation energy (kJ per mole of atoms): 45.4
Symmetry: I4/m, No. 87
Total magnetization (μB per formula unit): 0.0



No. 5
Entry from Alexandria: Ac7Pm2Pr2 after structural relaxation (PBE).

The structure in POSCAR format:
```
Ac7Pm2Pr2
1.0
4.856 -5.197 0.000
4.856 5.197 0.000
-2.016 0.000 9.176
Ac Pm Pr
7 2 2
Direct
0.000 0.000 0.000 Ac
0.086 0.461 0.800 Ac
0.158 0.158 0.417 Ac
0.461 0.086 0.800 Ac
0.539 0.914 0.200 Ac
0.842 0.842 0.583 Ac
0.914 0.539 0.200 Ac
0.326 0.674 0.500 Pm
0.674 0.326 0.500 Pm
0.389 0.389 0.154 Pr
0.611 0.611 0.846 Pr
```

Formation energy (kJ per mole of atoms): 8.8
Distance to the lowest polymorph of the same formula (eV/f.u.): 0.00
Symmetry: C2/m, No. 12
Total magnetization (μB per formula unit): 0.0



No. 6
Entry from Alexandria: Ac2Pm7Pr2 after structural relaxation (PBE).

The structure in POSCAR format:
```
Ac2Pm7Pr2
1.0
-1.852 9.158 6.100
1.852 -9.158 6.100
1.852 9.158 -6.100
Ac Pm Pr
2 7 2
Direct
0.201 0.000 0.201 Ac
0.799 0.000 0.799 Ac
0.091 0.759 0.332 Pm
0.375 0.490 0.885 Pm
0.426 0.759 0.668 Pm
0.574 0.243 0.331 Pm
0.605 0.490 0.115 Pm
0.911 0.243 0.669 Pm
0.916 0.916 0.000 Pm
0.228 0.228 0.000 Pr
0.666 0.166 0.500 Pr
```

Formation energy (kJ per mole of atoms): 16.0
Distance to the lowest polymorph of the same formula (eV/f.u.): 0.14
Symmetry: Imm2, No. 44
Total magnetization (μB per formula unit): 0.0



No. 7
Entry from Alexandria: AcPm5Pr2 after structural relaxation (PBE).

The structure in POSCAR format:
```
AcPm5Pr2
1.0
7.407 0.000 0.000
0.000 14.831 0.000
0.000 0.000 5.251
Ac Pm Pr
2 10 4
Direct
0.000 0.000 0.000 Ac
0.500 0.500 0.000 Ac
0.000 0.500 0.000 Pm
0.001 0.253 0.000 Pm
0.249 0.373 0.500 Pm
0.251 0.873 0.500 Pm
0.499 0.753 0.000 Pm
0.500 0.000 0.000 Pm
0.501 0.247 0.000 Pm
0.749 0.127 0.500 Pm
0.751 0.627 0.500 Pm
0.999 0.747 0.000 Pm
0.247 0.628 0.500 Pr
0.253 0.128 0.500 Pr
0.747 0.872 0.500 Pr
0.753 0.372 0.500 Pr
```

Formation energy (kJ per mole of atoms): 2.2
Symmetry: Pbam, No. 55
Total magnetization (μB per formula unit): 0.0



No. 8
Entry from Alexandria: Ac2Pm5Pr5 after structural relaxation (PBE).

The structure in POSCAR format:
```
Ac2Pm5Pr5
1.0
7.930 -2.636 0.000
7.930 2.636 0.000
-5.295 0.000 10.570
Ac Pm Pr
2 5 5
Direct
0.083 0.083 0.250 Ac
0.917 0.917 0.750 Ac
0.334 0.334 0.499 Pm
0.414 0.414 0.250 Pm
0.500 0.500 0.000 Pm
0.586 0.586 0.750 Pm
0.666 0.666 0.501 Pm
0.000 0.000 0.500 Pr
0.168 0.168 0.000 Pr
0.246 0.246 0.748 Pr
0.754 0.754 0.252 Pr
0.832 0.832 0.000 Pr
```

Formation energy (kJ per mole of atoms): 2.3
Symmetry: C2/m, No. 12
Total magnetization (μB per formula unit): 0.0



No. 9
Entry from Alexandria: Ac3Pm3Pr8 after structural relaxation (PBE).

The structure in POSCAR format:
```
Ac3Pm3Pr8
1.0
-2.957 5.676 7.934
2.957 -5.676 7.934
2.957 5.676 -7.934
Ac Pm Pr
3 3 8
Direct
0.000 0.000 0.000 Ac
0.317 0.000 0.317 Ac
0.683 0.000 0.683 Ac
0.308 0.808 0.500 Pm
0.500 0.500 0.000 Pm
0.692 0.192 0.500 Pm
0.060 0.396 0.664 Pr
0.066 0.225 0.841 Pr
0.267 0.604 0.664 Pr
0.384 0.225 0.159 Pr
0.616 0.775 0.841 Pr
0.733 0.396 0.336 Pr
0.934 0.775 0.159 Pr
0.940 0.604 0.336 Pr
```

Formation energy (kJ per mole of atoms): 11.1
Symmetry: Immm, No. 71
Total magnetization (μB per formula unit): 0.0



No. 10
Entry from Alexandria: Ac4PmPr after structural relaxation (PBE).

The structure in POSCAR format:
```
Ac4PmPr
1.0
0.000 5.081 5.081
5.081 0.000 5.081
5.081 5.081 0.000
Ac Pm Pr
4 1 1
Direct
0.125 0.125 0.125 Ac
0.125 0.125 0.624 Ac
0.125 0.624 0.125 Ac
0.624 0.125 0.125 Ac
0.500 0.500 0.500 Pm
0.750 0.750 0.750 Pr
```

Formation energy (kJ per mole of atoms): 31.2
Distance to the lowest polymorph of the same formula (eV/f.u.): 1.58
Symmetry: F-43m, No. 216
Total magnetization (μB per formula unit): 0.0



No. 11
Entry from Alexandria: Ac12Pm2Pr5 after structural relaxation (PBE).

The structure in POSCAR format:
```
Ac12Pm2Pr5
1.0
9.313 -3.776 0.000
9.313 3.776 0.000
-2.790 0.000 11.502
Ac Pm Pr
12 2 5
Direct
0.045 0.563 0.882 Ac
0.065 0.065 0.318 Ac
0.070 0.567 0.412 Ac
0.393 0.393 0.175 Ac
0.433 0.930 0.588 Ac
0.437 0.955 0.118 Ac
0.563 0.045 0.882 Ac
0.567 0.070 0.412 Ac
0.607 0.607 0.825 Ac
0.930 0.433 0.588 Ac
0.935 0.935 0.682 Ac
0.955 0.437 0.118 Ac
0.233 0.767 0.000 Pm
0.767 0.233 0.000 Pm
0.125 0.125 0.838 Pr
0.395 0.395 0.705 Pr
0.500 0.500 0.500 Pr
0.605 0.605 0.295 Pr
0.875 0.875 0.162 Pr
```

Formation energy (kJ per mole of atoms): 15.7
Symmetry: C2/m, No. 12
Total magnetization (μB per formula unit): 0.0



No. 12
Entry from Alexandria: AcPm4Pr7 after structural relaxation (PBE).

The structure in POSCAR format:
```
AcPm4Pr7
1.0
6.488 0.000 0.000
-0.003 7.475 0.000
-2.160 -0.004 9.009
Ac Pm Pr
1 4 7
Direct
0.000 0.000 0.000 Ac
0.218 0.500 0.667 Pm
0.280 0.255 0.334 Pm
0.720 0.745 0.666 Pm
0.782 0.500 0.333 Pm
0.000 0.500 0.000 Pr
0.225 0.000 0.663 Pr
0.281 0.746 0.335 Pr
0.500 0.254 0.001 Pr
0.500 0.746 0.999 Pr
0.719 0.254 0.665 Pr
0.775 0.000 0.337 Pr
```

Formation energy (kJ per mole of atoms): 1.5
Distance to the lowest polymorph of the same formula (eV/f.u.): 0.00
Symmetry: P-1, No. 2
Total magnetization (μB per formula unit): 0.0



No. 13
Entry from Alexandria: AcPm8Pr6 after structural relaxation (PBE).

The structure in POSCAR format:
```
AcPm8Pr6
1.0
4.994 2.884 6.280
-4.994 2.884 6.280
0.000 -5.767 6.280
Ac Pm Pr
1 8 6
Direct
0.000 0.000 0.000 Ac
0.057 0.388 0.858 Pm
0.142 0.943 0.612 Pm
0.230 0.230 0.230 Pm
0.388 0.858 0.057 Pm
0.612 0.142 0.943 Pm
0.770 0.770 0.770 Pm
0.858 0.057 0.388 Pm
0.943 0.612 0.142 Pm
0.168 0.620 0.427 Pr
0.380 0.573 0.832 Pr
0.427 0.168 0.620 Pr
0.573 0.832 0.380 Pr
0.620 0.427 0.168 Pr
0.832 0.380 0.573 Pr
```

Formation energy (kJ per mole of atoms): 16.2
Distance to the lowest polymorph of the same formula (eV/f.u.): 0.37
Symmetry: R-3, No. 148
Total magnetization (μB per formula unit): 0.0



No. 14
Entry from Alexandria: AcPm7Pr12 after structural relaxation (PBE).

The structure in POSCAR format:
```
AcPm7Pr12
1.0
-5.889 5.889 5.889
5.889 -5.889 5.889
5.889 5.889 -5.889
Ac Pm Pr
1 7 12
Direct
0.000 0.000 0.000 Ac
0.000 0.000 0.500 Pm
0.000 0.500 0.000 Pm
0.000 0.500 0.500 Pm
0.500 0.000 0.000 Pm
0.500 0.000 0.500 Pm
0.500 0.500 0.000 Pm
0.500 0.500 0.500 Pm
0.000 0.254 0.746 Pr
0.000 0.746 0.254 Pr
0.254 0.000 0.746 Pr
0.254 0.254 0.509 Pr
0.254 0.509 0.254 Pr
0.254 0.746 0.000 Pr
0.491 0.746 0.746 Pr
0.509 0.254 0.254 Pr
0.746 0.000 0.254 Pr
0.746 0.254 0.000 Pr
0.746 0.491 0.746 Pr
0.746 0.746 0.491 Pr
```

Formation energy (kJ per mole of atoms): 55.0
Distance to the lowest polymorph of the same formula (eV/f.u.): 7.45
Symmetry: Im-3m, No. 229
Total magnetization (μB per formula unit): 0.0



No. 15
Entry from Alexandria: Ac15PmPr4 after structural relaxation (PBE).

The structure in POSCAR format:
```
Ac15PmPr4
1.0
5.553 0.000 0.000
0.000 5.553 0.000
0.000 0.000 27.675
Ac Pm Pr
15 1 4
Direct
0.000 0.000 0.000 Ac
0.000 0.000 0.200 Ac
0.000 0.000 0.400 Ac
0.000 0.000 0.600 Ac
0.000 0.000 0.800 Ac
0.000 0.500 0.099 Ac
0.000 0.500 0.300 Ac
0.000 0.500 0.500 Ac
0.000 0.500 0.700 Ac
0.000 0.500 0.901 Ac
0.500 0.000 0.099 Ac
0.500 0.000 0.300 Ac
0.500 0.000 0.500 Ac
0.500 0.000 0.700 Ac
0.500 0.000 0.901 Ac
0.500 0.500 0.000 Pm
0.500 0.500 0.200 Pr
0.500 0.500 0.400 Pr
0.500 0.500 0.600 Pr
0.500 0.500 0.800 Pr
```

Formation energy (kJ per mole of atoms): 2.2
Symmetry: P4/mmm, No. 123
Total magnetization (μB per formula unit): 0.0



No. 16
Entry from Alexandria: AcPm3Pr after structural relaxation (PBE).

The structure in POSCAR format:
```
AcPm3Pr
1.0
6.386 0.000 0.000
0.000 7.048 0.000
-6.007 0.000 16.540
Ac Pm Pr
4 12 4
Direct
0.044 0.053 0.349 Ac
0.044 0.447 0.849 Ac
0.956 0.553 0.151 Ac
0.956 0.947 0.651 Ac
0.213 0.548 0.368 Pm
0.213 0.952 0.868 Pm
0.214 0.168 0.050 Pm
0.214 0.332 0.550 Pm
0.369 0.669 0.047 Pm
0.369 0.831 0.547 Pm
0.631 0.169 0.453 Pm
0.631 0.331 0.953 Pm
0.786 0.668 0.450 Pm
0.786 0.832 0.950 Pm
0.787 0.048 0.132 Pm
0.787 0.452 0.632 Pm
0.445 0.628 0.746 Pr
0.445 0.872 0.246 Pr
0.555 0.128 0.754 Pr
0.555 0.372 0.254 Pr
```

Formation energy (kJ per mole of atoms): 7.6
Distance to the lowest polymorph of the same formula (eV/f.u.): 0.00
Symmetry: P2_1/c, No. 14
Total magnetization (μB per formula unit): 0.0



No. 17
Entry from Alexandria: Ac4PmPr after structural relaxation (PBE).

The structure in POSCAR format:
```
Ac4PmPr
1.0
2.939 1.697 9.645
-2.939 1.697 9.645
0.000 -3.394 9.645
Ac Pm Pr
4 1 1
Direct
0.124 0.124 0.124 Ac
0.375 0.375 0.375 Ac
0.625 0.625 0.625 Ac
0.876 0.876 0.876 Ac
0.000 0.000 0.000 Pm
0.500 0.500 0.500 Pr
```

Formation energy (kJ per mole of atoms): 56.3
Distance to the lowest polymorph of the same formula (eV/f.u.): 3.15
Symmetry: R-3m, No. 166
Total magnetization (μB per formula unit): 0.0



No. 18
Entry from Alexandria: Ac3Pm7Pr2 after structural relaxation (PBE).

The structure in POSCAR format:
```
Ac3Pm7Pr2
1.0
3.819 0.000 0.000
0.000 5.907 0.000
-1.883 0.000 20.740
Ac Pm Pr
3 7 2
Direct
0.000 0.000 0.000 Ac
0.319 0.500 0.637 Ac
0.681 0.500 0.363 Ac
0.084 0.500 0.173 Pm
0.219 0.000 0.435 Pm
0.431 0.000 0.859 Pm
0.500 0.500 0.000 Pm
0.569 0.000 0.141 Pm
0.781 0.000 0.565 Pm
0.916 0.500 0.827 Pm
0.138 0.000 0.280 Pr
0.862 0.000 0.720 Pr
```

Formation energy (kJ per mole of atoms): 21.3
Symmetry: P2/m, No. 10
Total magnetization (μB per formula unit): 0.0



No. 19
Entry from Alexandria: Ac4PmPr2 after structural relaxation (PBE).

The structure in POSCAR format:
```
Ac4PmPr2
1.0
6.527 -3.058 0.000
6.527 3.058 0.000
-5.260 0.000 7.452
Ac Pm Pr
4 1 2
Direct
0.159 0.159 0.017 Ac
0.171 0.171 0.561 Ac
0.829 0.829 0.439 Ac
0.841 0.841 0.983 Ac
0.500 0.500 0.000 Pm
0.487 0.487 0.325 Pr
0.513 0.513 0.675 Pr
```

Formation energy (kJ per mole of atoms): 23.2
Symmetry: C2/m, No. 12
Total magnetization (μB per formula unit): 0.0